ErCrO4 PBE with a Hubbard U optimized geometry; electronic total energy = -91.9 eV for the cell shown; symmetry = Fddd, No. 70
1.0
-2.951 -3.171 4.029
1.205 -2.748 -5.098
5.272 1.314 2.461
Cr O Er
2 8 2
direct
0.625 0.375 0.250
0.375 0.625 0.750
0.187 0.631 0.924
0.631 0.187 0.424
0.263 0.208 0.076
0.208 0.263 0.576
0.369 0.813 0.576
0.813 0.369 0.076
0.792 0.737 0.424
0.737 0.792 0.924
0.875 0.125 0.750
0.125 0.875 0.250